Entry 1:
Below is a relaxed structure of RbCaLa2Se4, with properties calculated at the PBE level.

Cell: 8.839 8.839 8.839 Å, 120.66 119.38 89.97°
Fractional positions:
Rb  0.500  0.000  0.000
Rb  0.500  0.500  0.500
Ca  0.000  0.000  0.000
Ca  0.500  0.000  0.500
La  0.000  0.000  0.500
La  0.000  0.500  0.000
La  0.000  0.500  0.500
La  0.500  0.500  0.000
Se  0.227  0.749  0.479
Se  0.230  0.251  0.979
Se  0.241  0.239  0.498
Se  0.241  0.743  0.002
Se  0.759  0.257  0.998
Se  0.759  0.761  0.502
Se  0.770  0.749  0.021
Se  0.773  0.251  0.521

Its crystal system is orthorhombic. The total energy is -5.16 eV/atom. As for the density of states at the Fermi level: 6.37 states/eV per cell. The value obtained for the uncorrected formation energy is -1404 kJ/mol of formula units.

***

Entry 2:
Below is a relaxed structure of CrIr, with properties calculated at the PBE level.

Cell: 4.029 4.029 5.263 Å, 90.00 90.00 120.00°
Fractional positions:
Cr  0.333  0.667  0.000
Cr  0.667  0.333  0.500
Ir  0.333  0.667  0.435
Ir  0.667  0.333  0.935

For the formation energy, the calculation gives 0.8739 eV per atom. Its crystal system is hexagonal. The total energy is -8.37 eV/atom. As for the density of states at the Fermi level: 4.30 states/eV per cell.

***

Entry 3:
Below is a relaxed structure of TmPaAu, with properties calculated at the PBE level.

Cell: 6.983 6.983 6.983 Å, 152.35 152.35 39.50°
Fractional positions:
Tm  0.000  0.000  0.000
Pa  0.692  0.692  0.000
Au  0.357  0.357  0.000

For the formation energy, the calculation gives -0.2402 eV per atom. Its crystal system is tetragonal. The total energy is -5.99 eV/atom. As for the density of states at the Fermi level: 5.11 states/eV per cell.

***

Entry 4:
Below is a relaxed structure of Sm4Ho3Er8, with properties calculated at the PBE level.

Cell: 9.230 9.230 6.696 Å, 111.16 111.16 87.77°
Fractional positions:
Sm  0.000  0.000  0.000
Sm  0.000  0.000  0.500
Sm  0.000  0.500  0.000
Sm  0.500  0.000  0.000
Ho  0.000  0.500  0.500
Ho  0.500  0.000  0.500
Ho  0.500  0.500  0.000
Er  0.254  0.746  0.000
Er  0.267  0.267  0.511
Er  0.269  0.269  0.035
Er  0.362  0.638  0.500
Er  0.638  0.362  0.500
Er  0.731  0.731  0.965
Er  0.733  0.733  0.489
Er  0.746  0.254  0.000

For the formation energy, the calculation gives 0.3845 eV per atom. Its crystal system is monoclinic. The total energy is -4.22 eV/atom. As for the density of states at the Fermi level: 29.82 states/eV per cell.

***

Entry 5:
Below is a relaxed structure of LuPa2, with properties calculated at the PBE level.

Cell: 6.632 6.632 6.632 Å, 148.61 148.61 44.99°
Fractional positions:
Lu  0.000  0.000  0.000
Pa  0.316  0.316  0.000
Pa  0.684  0.684  0.000

For the formation energy, the calculation gives 0.2357 eV per atom. Its crystal system is tetragonal. The total energy is -7.60 eV/atom. As for the density of states at the Fermi level: 6.81 states/eV per cell.

***

Entry 6:
Below is a relaxed structure of TlZnF2, with properties calculated at the PBE level.

Cell: 6.044 6.044 6.044 Å, 122.78 122.78 85.25°
Fractional positions:
Tl  0.000  0.000  0.000
Tl  0.750  0.250  0.500
Zn  0.250  0.750  0.500
Zn  0.500  0.500  0.000
F  0.244  0.625  0.119
F  0.375  0.494  0.619
F  0.506  0.125  0.881
F  0.875  0.756  0.381

Its crystal system is tetragonal. The total energy is -3.33 eV/atom. As for the density of states at the Fermi level: 1.45 states/eV per cell. The value obtained for the uncorrected formation energy is -574 kJ/mol of formula units.